The following is a DFT calculation (GGA-PBE) of a geometry-optimized BaTlO structure.

Output
**Formation energy (no corrections)**: -1.39 eV/atom
**DOS at the Fermi energy**: 1.089 states/eV/atom
**Relative energy among the computed polymorphs**: 63 meV/atom
**Symmetry**: P4/nmm (129)

Cell lengths 4.5295, 4.5295, 10.0203 Å; angles 90.00, 90.00, 90.00 degrees
Element x y z (fractional)
1 Ba 0.2500 0.2500 0.1162
2 Ba 0.7500 0.7500 0.8838
3 Tl 0.2500 0.2500 0.5511
4 Tl 0.7500 0.7500 0.4489
5 O 0.2500 0.7500 0.0000
6 O 0.7500 0.2500 0.0000

The following is a DFT calculation (GGA-PBE) of a geometry-optimized Ba4TlO structure.

Output
**Formation energy (no corrections)**: -0.95 eV/atom
**DOS at the Fermi energy**: 0.947 states/eV/atom
**Relative energy among the computed polymorphs**: 0 meV/atom
**Symmetry**: P2_1/m (11)

Cell lengths 6.8368, 11.2650, 7.3761 Å; angles 90.00, 96.42, 90.00 degrees
Element x y z (fractional)
1 Ba 0.1827 0.2500 0.2878
2 Ba 0.2273 0.7500 0.3716
3 Ba 0.2728 0.0602 0.7899
4 Ba 0.2728 0.4398 0.7899
5 Ba 0.7272 0.5602 0.2101
6 Ba 0.7272 0.9398 0.2101
7 Ba 0.7727 0.2500 0.6284
8 Ba 0.8173 0.7500 0.7122
9 Tl 0.3453 0.7500 0.9071
10 Tl 0.6547 0.2500 0.0929
11 O 0.1424 0.2500 0.6253
12 O 0.8576 0.7500 0.3747

The following is a DFT calculation (GGA-PBE) of a geometry-optimized Ba5Tl2O2 structure.

Output
**Formation energy (no corrections)**: -1.23 eV/atom
**DOS at the Fermi energy**: 0.767 states/eV/atom
**Relative energy among the computed polymorphs**: 33 meV/atom
**Symmetry**: Ima2 (46)

Cell lengths 11.8878, 11.8878, 11.8878 Å; angles 56.89, 140.19, 141.09 degrees
Element x y z (fractional)
1 Ba 0.0420 0.1450 0.3970
2 Ba 0.2295 0.4072 0.1011
3 Ba 0.2295 0.6284 0.3223
4 Ba 0.2452 0.0070 0.2522
5 Ba 0.2452 0.4930 0.7383
6 Ba 0.3061 0.1284 0.8989
7 Ba 0.3061 0.9072 0.6777
8 Ba 0.7480 0.6450 0.6030
9 Ba 0.7548 0.5070 0.2617
10 Ba 0.7548 0.9930 0.7478
11 Tl 0.7340 0.1383 0.3862
12 Tl 0.7340 0.8478 0.0957
13 Tl 0.7521 0.3478 0.6138
14 Tl 0.7521 0.6383 0.9043
15 O 0.1346 0.9691 0.6655
16 O 0.2527 0.2527 0.0000
17 O 0.2527 0.7527 0.5000
18 O 0.3036 0.4691 0.3345

The following is a DFT calculation (GGA-PBE) of a geometry-optimized Ba3TlO4 structure.

Output
**Formation energy (no corrections)**: -2.03 eV/atom
**Relative energy among the computed polymorphs**: 0 meV/atom
**Symmetry**: P2_1 (4)

Cell lengths 7.8605, 7.8178, 11.2670 Å; angles 90.00, 90.05, 90.00 degrees
Element x y z (fractional)
1 Ba 0.0010 0.0000 0.2569
2 Ba 0.2306 0.2510 0.0007
3 Ba 0.2465 0.7510 0.9986
4 Ba 0.2569 0.2506 0.5000
5 Ba 0.2648 0.7519 0.5062
6 Ba 0.4995 0.5041 0.2435
7 Ba 0.5005 0.0041 0.7565
8 Ba 0.7352 0.2519 0.4938
9 Ba 0.7431 0.7506 0.5000
10 Ba 0.7535 0.2510 0.0014
11 Ba 0.7694 0.7510 0.9993
12 Ba 0.9990 0.5000 0.7431
13 Tl 0.0183 0.5187 0.2804
14 Tl 0.4934 0.5046 0.7730
15 Tl 0.5066 0.0046 0.2270
16 Tl 0.9817 0.0187 0.7196
17 O 0.0004 0.0014 0.0300
18 O 0.9996 0.5014 0.9700
19 O 0.0011 0.9996 0.5083
20 O 0.1884 0.2927 0.2528
21 O 0.2048 0.1921 0.7479
22 O 0.2172 0.7179 0.2550
23 O 0.2849 0.7150 0.7525
24 O 0.4972 0.5064 0.0020
25 O 0.4993 0.5019 0.4753
26 O 0.5007 0.0019 0.5247
27 O 0.5028 0.0064 0.9980
28 O 0.7151 0.2150 0.2475
29 O 0.7828 0.2179 0.7450
30 O 0.7952 0.6921 0.2521
31 O 0.8116 0.7927 0.7472
32 O 0.9989 0.4996 0.4917

The following is a DFT calculation (GGA-PBE) of a geometry-optimized Ba4Tl2O structure.

Output
**Formation energy (no corrections)**: -0.89 eV/atom
**DOS at the Fermi energy**: 1.098 states/eV/atom
**Relative energy among the computed polymorphs**: 35 meV/atom
**Symmetry**: I4/mmm (139)

Cell lengths 9.4873, 9.4873, 9.4873 Å; angles 145.69, 145.69, 49.30 degrees
Element x y z (fractional)
1 Ba 0.0000 0.5000 0.5000
2 Ba 0.1650 0.1650 0.0000
3 Ba 0.5000 0.0000 0.5000
4 Ba 0.8350 0.8350 0.0000
5 Tl 0.3711 0.3711 0.0000
6 Tl 0.6289 0.6289 0.0000
7 O 0.0000 0.0000 0.0000

The following is a DFT calculation (GGA-PBE) of a geometry-optimized BaTl3O structure.

Output
**Formation energy (no corrections)**: 1.02 eV/atom
**DOS at the Fermi energy**: 1.287 states/eV/atom
**Relative energy among the computed polymorphs**: 1328 meV/atom
**Symmetry**: Pm-3m (221)

Cell lengths 6.5631, 6.5631, 6.5631 Å; angles 90.00, 90.00, 90.00 degrees
Element x y z (fractional)
1 Ba 0.0000 0.0000 0.0000
2 Tl 0.0000 0.0000 0.5000
3 Tl 0.0000 0.5000 0.0000
4 Tl 0.5000 0.0000 0.0000
5 O 0.5000 0.5000 0.5000

no.,final energy (eV/atom)
1,-4.47
2,-3.45
3,-3.92
4,-5.52
5,-3.37
6,-1.77